Density functional theory data (GGA+U) for a geometry-optimized NiSeN2F structure.

```
NiSeN2F
1.0
3.8790 0.0000 0.0000
0.0000 3.8790 0.0000
0.0000 0.0000 4.0215
Ni Se N F
1 1 2 1
direct
0.0000 0.0000 0.0000
0.5000 0.5000 0.5000
0.0000 0.5000 0.5000
0.5000 0.0000 0.5000
0.5000 0.5000 0.0000
```

Values from the calculation:
Magnetization, μB per cell: 1.93
N(E_F), states/eV/f.u.: 0.96
Energy, Ry/atom: -0.2727